No. 1
Sc2SnPt2: optimized geometry, PBE.

Cell lengths 4.4988, 4.4988, 6.2544 Å; angles 68.92, 68.92, 90.00 degrees
Positions (direct):
Sc: 0.7500 0.2500 0.5000
Sc: 0.2500 0.7500 0.5000
Sn: 0.0000 0.0000 0.0000
Pt: 0.3808 0.3808 0.2384
Pt: 0.6192 0.6192 0.7616

Output
Space-group type   I4/mmm (139)
Crystal system   tetragonal

=====

No. 2
SrNiHg2Pb: optimized geometry, PBE.

Cell lengths 5.1302, 5.1302, 5.0970 Å; angles 90.00, 90.00, 90.00 degrees
Positions (direct):
Pb: 0.0000 0.0000 0.5000
Sr: 0.5000 0.5000 0.5000
Hg: 0.0000 0.5000 0.0000
Hg: 0.5000 0.0000 0.0000
Ni: 0.0000 0.0000 0.0000

Output
Space-group type   P4/mmm (123)
Crystal system   tetragonal

=====

No. 3
SrSn8: optimized geometry, PBE.

Cell lengths 4.8986, 7.7092, 7.7092 Å; angles 84.21, 71.48, 71.48 degrees
Positions (direct):
Sr: 0.0000 0.0000 0.0000
Sn: 0.3203 0.0000 0.3593
Sn: 0.6797 0.0000 0.6407
Sn: 0.6563 0.3437 0.3437
Sn: 0.3203 0.3593 0.0000
Sn: 0.0000 0.3437 0.6563
Sn: 0.6797 0.6407 0.0000
Sn: 0.3437 0.6563 0.6563
Sn: 0.0000 0.6563 0.3437

Output
Space-group type   I4/mmm (139)
Crystal system   tetragonal

=====

Formation enthalpy at 0 K (computed, meV per atom): -837; -183; -97
Total energy (computed, eV/atom): -6.59; -2.54; -3.84
Total magnetization (computed, μB per formula unit): 0.0; 0.0; 0.0